Material: Th4Cd5Ag2
Method: DFT, PBE
State: relaxed

- Calculated formation energy: -0.10 eV/atom
- Space group: P2/m
- Total magnetization: 0.0 μB per formula unit

Unit cell a=3.3416 b=8.0860 c=10.5883 alpha=93.50 beta=90.00 gamma=90.00
Fractional positions:
Th1 0.5000 0.1493 0.8857
Cd1 0.0000 0.5000 0.0000
Cd2 0.0000 0.4325 0.7108
Cd3 0.0000 0.5675 0.2892
Ag1 0.0000 0.9470 0.3641
Cd4 0.0000 0.2103 0.1683
Cd5 0.0000 0.7897 0.8317
Th2 0.5000 0.2757 0.4515
Th3 0.5000 0.7243 0.5485
Ag2 0.0000 0.0530 0.6359
Th4 0.5000 0.8507 0.1143